# K3Sc3MnS8

Crystalline K3Sc3MnS8 at its relaxed geometry (PBE-GGA, the Alexandria database).

It has space group R-3m (No. 166, hexagonal axes), with a = 7.4535 Å, b = 7.4535 Å, c = 22.3644 Å, α = 90.00°, β = 90.00° and γ = 120.00°. The asymmetric unit holds K at (0.0000, 0.5000, 0.0000), Sc at (0.0000, 0.5000, 0.5000), Mn at (0.0000, 0.0000, 0.5000), S at (0.0000, 0.0000, 0.2308) and S at (0.0213, 0.5107, 0.2271).

The calculation puts the total energy at -260.46 eV/cell. As for the density: 2.6 g/cm³. The total magnetization is 3.0 μB per formula unit.